(1)
Compound: Ta2AgRh
Source: the Alexandria database
Functional: GGA-PBE
Structure: optimized geometry

Summary:
DFT formation energy (meV per atom): -28

a = 2.865 Å, b = 2.865 Å, c = 8.354 Å
α = 90.00°, β = 90.00°, γ = 90.30°
Element x y z (fractional)
1 Ta 0.000 0.000 0.000
2 Ta 0.500 0.500 0.266
3 Ag 0.000 0.000 0.530
4 Rh 0.500 0.500 0.782

(2)
Compound: Cr2SiNiSe
Source: the Alexandria database
Functional: GGA-PBE
Structure: optimized geometry

Summary:
Formation energy without anion corrections (meV per atom): 568

a = 4.675 Å, b = 4.675 Å, c = 4.176 Å
α = 90.00°, β = 90.00°, γ = 90.00°
Element x y z (fractional)
1 Cr 0.000 0.500 0.000
2 Cr 0.500 0.000 0.000
3 Si 0.000 0.000 0.000
4 Ni 0.000 0.000 0.500
5 Se 0.500 0.500 0.500

(3)
Compound: LiMnCuGe
Source: the Alexandria database
Functional: GGA-PBE
Structure: optimized geometry

Summary:
DFT formation energy (meV per atom): -110

a = 4.232 Å, b = 4.232 Å, c = 4.232 Å
α = 60.00°, β = 60.00°, γ = 60.00°
Element x y z (fractional)
1 Li 0.000 0.000 0.000
2 Mn 0.500 0.500 0.500
3 Cu 0.750 0.750 0.750
4 Ge 0.250 0.250 0.250

(4)
Compound: V2Co2Hg
Source: the Alexandria database
Functional: GGA-PBE
Structure: optimized geometry

Summary:
Offset from the most stable computed form (meV per atom): 0
DFT formation energy (meV per atom): 50

a = 7.035 Å, b = 7.035 Å, c = 2.731 Å
α = 90.00°, β = 90.00°, γ = 90.00°
Element x y z (fractional)
1 V 0.162 0.338 0.000
2 V 0.338 0.838 0.000
3 V 0.662 0.162 0.000
4 V 0.838 0.662 0.000
5 Co 0.127 0.627 0.500
6 Co 0.373 0.127 0.500
7 Co 0.627 0.873 0.500
8 Co 0.873 0.373 0.500
9 Hg 0.000 0.000 0.500
10 Hg 0.500 0.500 0.500

no.,V (Å³ per atom)
1,17.15
2,18.25
3,13.40
4,13.52